Below is Pm2ErCu2 after structural relaxation, with properties calculated at the PBE level.

Cell lengths 5.5266, 4.4357, 10.6513 Å; angles 90.00, 95.74, 90.00 degrees
With the nearest neighbours (Å) after each atom.
Space group P2_1/m (No. 11)
Inequivalent atoms, fractional coordinates:
Pm 0.1042 0.2500 0.3778  5 Cu 2.90-3.06
Pm 0.2528 0.2500 0.0470  4 Cu 2.92-3.02
Er 0.4019 0.2500 0.7102  5 Cu 2.88-2.95
Cu 0.2359 0.7500 0.8537  2 Er 2.89, 5 Pm 2.92-3.02
Cu 0.3859 0.7500 0.5263  2 Cu 2.64, 3 Er 2.88-2.95, 1 Pm 2.90

Crystal system: monoclinic
ΔE_f (eV per atom): -0.0729
E above lowest polymorph (meV/atom): 57
VASP energy (eV/atom): -4.524
Magnetization (μB per formula unit): 0.0